This record from Alexandria via LeMat-Bulk describes an optimized crystal structure of Ba2MnP. The functional is PBEsol.

Structure (POSCAR):
```
Ba2MnP
1.0
3.523 0.000 0.000
0.000 3.523 0.000
0.000 0.000 9.350
Ba Mn P
2 1 1
Cartesian
0.000 0.000 0.000
1.761 1.761 3.908
0.000 0.000 6.438
1.761 1.761 6.985
```

Values from the calculation:
The energy of formation comes out at 0.03 eV per atom. The symmetry is P4mm, No. 99. Its total energy is -19.750 eV/cell.